## PmDyErHg (PBE)

Data for an optimized crystal structure of PmDyErHg.

E_form, eV/atom: -0.0172
Polymorph energy (0 for the lowest one), meV/atom: 219

Cell lengths 7.663, 7.663, 7.663 Å; angles 90.00, 90.00, 90.00 degrees
Space group F-43m (No. 216)
Inequivalent atoms, fractional coordinates:
1 Pm 0.000 0.000 0.000 x4
2 Dy 0.250 0.250 0.750 x4
3 Er 0.250 0.250 0.250 x4
4 Hg 0.000 0.000 0.500 x4



## Rb2OsClF6 (PBE)

Data for an optimized crystal structure of Rb2OsClF6.

Uncorrected formation energy, kJ/mol of atoms: -189

Cell lengths 9.774, 9.774, 9.774 Å; angles 90.00, 90.00, 90.00 degrees
Space group Fm-3m (No. 225)
Inequivalent atoms, fractional coordinates:
1 Rb 0.250 0.250 0.250 x8
2 Os 0.000 0.000 0.000 x4
3 Cl 0.000 0.000 0.500 x4
4 F 0.000 0.000 0.197 x24



## SiPAu2 (PBE)

Data for an optimized crystal structure of SiPAu2.

Uncorrected formation energy, kJ/mol of atoms: 10
Polymorph energy (0 for the lowest one), meV/atom: 40

Cell lengths 12.482, 3.751, 3.340 Å; angles 90.00, 104.87, 90.00 degrees
Space group Cm (No. 8)
Inequivalent atoms, fractional coordinates:
1 Si 0.000 0.000 0.000 x2
2 P 0.192 0.000 0.184 x2
3 Au 0.213 0.500 0.703 x2
4 Au 0.458 0.000 0.460 x2



## Zr5Pt4 (PBE)

Data for an optimized crystal structure of Zr5Pt4.

E_form, eV/atom: -0.5975
Polymorph energy (0 for the lowest one), meV/atom: 287

Cell lengths 9.492, 9.492, 3.801 Å; angles 90.00, 90.00, 90.00 degrees
Space group I4/mmm (No. 139)
Inequivalent atoms, fractional coordinates:
1 Zr 0.000 0.000 0.000 x2
2 Zr 0.171 0.171 0.500 x8
3 Pt 0.000 0.324 0.000 x8



## Ho2PtS (PBE)

Data for an optimized crystal structure of Ho2PtS.

Uncorrected formation energy, kJ/mol of atoms: -143
Polymorph energy (0 for the lowest one), meV/atom: 138

Cell lengths 3.9236, 3.9236, 21.0743 Å; angles 90.00, 90.00, 120.00 degrees
Space group R3m (No. 160, hexagonal axes)
Inequivalent atoms, fractional coordinates:
1 Ho 0.0000 0.0000 0.0000 x3
2 Ho 0.0000 0.0000 0.1779 x3
3 Pt 0.0000 0.0000 0.5891 x3
4 S 0.0000 0.0000 0.4207 x3



## Sc2TiTl (PBE)

Data for an optimized crystal structure of Sc2TiTl.

E_form, eV/atom: -0.0813

Cell lengths 3.318, 3.318, 7.996 Å; angles 90.00, 90.00, 90.00 degrees
Space group P4/mmm (No. 123)
Inequivalent atoms, fractional coordinates:
1 Sc 0.000 0.000 0.240 x2
2 Ti 0.500 0.500 0.000 x1
3 Tl 0.500 0.500 0.500 x1



## PuRe2Si (PBE)

Data for an optimized crystal structure of PuRe2Si.

Uncorrected formation energy, kJ/mol of atoms: 36

Cell lengths 2.8689, 2.8689, 27.7941 Å; angles 90.00, 90.00, 120.00 degrees
Space group R-3m (No. 166, hexagonal axes)
Inequivalent atoms, fractional coordinates:
1 Pu 0.0000 0.0000 0.0000 x3
2 Re 0.0000 0.0000 0.0981 x6
3 Si 0.0000 0.0000 0.5000 x3



## Zn4GaPd (PBE)

Data for an optimized crystal structure of Zn4GaPd.

E_form, eV/atom: -0.0976
Polymorph energy (0 for the lowest one), meV/atom: 74

Cell lengths 7.139, 7.139, 7.139 Å; angles 90.00, 90.00, 90.00 degrees
Space group F-43m (No. 216)
Inequivalent atoms, fractional coordinates:
1 Zn 0.125 0.125 0.125 x16
2 Ga 0.000 0.000 0.500 x4
3 Pd 0.250 0.250 0.750 x4



## AlReSe2 (PBE)

Data for an optimized crystal structure of AlReSe2.

Uncorrected formation energy, kJ/mol of atoms: 37

Cell lengths 3.666, 4.234, 4.730 Å; angles 90.00, 99.87, 90.00 degrees
Space group P2/m (No. 10)
Inequivalent atoms, fractional coordinates:
1 Al 0.000 0.000 0.000 x1
2 Re 0.500 0.000 0.500 x1
3 Se 0.319 0.500 0.746 x2



## Pm5Tl2Te2 (PBE)

Data for an optimized crystal structure of Pm5Tl2Te2.

Uncorrected formation energy, kJ/mol of atoms: -80

Cell lengths 15.971, 8.322, 8.322 Å; angles 90.00, 90.00, 90.00 degrees
Space group Cmce (No. 64)
Inequivalent atoms, fractional coordinates:
1 Pm 0.000 0.000 0.000 x4
2 Pm 0.139 0.170 0.336 x16
3 Tl 0.000 0.132 0.628 x8
4 Te 0.200 0.000 0.000 x8



## CaGeNF2 (PBE)

Data for an optimized crystal structure of CaGeNF2.

Uncorrected formation energy, kJ/mol of atoms: -103
Polymorph energy (0 for the lowest one), meV/atom: 402

Cell lengths 4.191, 4.191, 4.915 Å; angles 90.00, 90.00, 90.00 degrees
Space group P4/mmm (No. 123)
Inequivalent atoms, fractional coordinates:
1 Ca 0.000 0.000 0.000 x1
2 Ge 0.500 0.500 0.500 x1
3 N 0.000 0.000 0.500 x1
4 F 0.000 0.500 0.000 x2



## Mg2RuAu (PBE)

Data for an optimized crystal structure of Mg2RuAu.

E_form, eV/atom: -0.2322

Cell lengths 3.279, 3.279, 6.150 Å; angles 90.00, 90.00, 90.00 degrees
Space group P4/mmm (No. 123)
Inequivalent atoms, fractional coordinates:
1 Mg 0.000 0.000 0.233 x2
2 Ru 0.500 0.500 0.000 x1
3 Au 0.500 0.500 0.500 x1



Number 1: calculated volume 450 Å³/cell, raw total energy -57.1 eV for the cell shown. Number 2: calculated volume 934 Å³/cell, raw total energy -183.3 eV for the cell shown. Number 3: calculated volume 151 Å³/cell, raw total energy -34.0 eV for the cell shown. Number 4: calculated volume 342 Å³/cell, raw total energy -144.6 eV for the cell shown. Number 5: calculated volume 281 Å³/cell, raw total energy -75.8 eV for the cell shown. Number 6: calculated volume 88 Å³/cell, raw total energy -23.2 eV for the cell shown. Number 7: calculated volume 198 Å³/cell, raw total energy -129.5 eV for the cell shown. Number 8: calculated volume 364 Å³/cell, raw total energy -55.6 eV for the cell shown. Number 9: calculated volume 72 Å³/cell, raw total energy -21.6 eV for the cell shown. Number 10: calculated volume 1106 Å³/cell, raw total energy -168.9 eV for the cell shown. Number 11: calculated volume 86 Å³/cell, raw total energy -24.0 eV for the cell shown. Number 12: calculated volume 66 Å³/cell, raw total energy -16.7 eV for the cell shown.